Here is crystalline CaEu2Dy at its relaxed geometry from Alexandria via LeMat-Bulk. Energies are from PBE-GGA.

- Space group: P4/mmm

Lattice parameters (Å, degrees): 4.179 6.044 6.044 90.00 90.00 90.00
Site moments in Bohr magnetons follow the coordinates.
Atoms (fractional coordinates):
1 Dy 0.500 0.500 0.500  -0.06
2 Ca 0.500 0.000 0.000  -0.02
3 Eu 0.000 0.500 0.000  -6.87
4 Eu 0.000 0.000 0.500  -6.87

***

Here is crystalline CaEu2Dy at its relaxed geometry from Alexandria via LeMat-Bulk. Energies are from PBE-GGA.

- Space group: Fm-3m

Lattice parameters (Å, degrees): 6.003 6.003 6.003 60.00 60.00 60.00
Site moments in Bohr magnetons follow the coordinates.
Atoms (fractional coordinates):
1 Eu 0.250 0.250 0.250  -6.85
2 Ca 0.500 0.500 0.500  -0.01
3 Dy 0.000 0.000 0.000  -0.05
4 Eu 0.750 0.750 0.750  -6.85

***

Listing calculated formation energy for the structures above in their given order: 115, 116 meV/atom.
Listing energy above the most stable polymorph in this dataset for the structures above in their given order: 48.8, 50.5 meV per atom.